! Li2NpMnO4 (PBE with a Hubbard U, relaxed); values from VASP
&SYSTEM
  ibrav = 0, nat = 8, ntyp = 4
/
ATOMIC_SPECIES
Li 6.94 Li.upf
Np 237.00 Np.upf
Mn 54.94 Mn.upf
O 16.00 O.upf
ATOMIC_POSITIONS angstrom
Li 0.0000 0.0000 0.0000
Li 0.0000 2.2474 2.3029
Np 2.2474 0.0000 2.3029
Mn 0.0000 0.0000 4.6058
O 2.2474 0.0000 0.1039
O 0.0000 0.0000 2.3532
O 2.2474 0.0000 4.5020
O 0.0000 0.0000 6.8585
CELL_PARAMETERS angstrom
-2.2474 2.2474 4.6058
2.2474 -2.2474 4.6058
2.2474 2.2474 -4.6058
! Raw total energy (eV/atom): -7.735